*P*
First-principles (PBE+U) data for crystalline Li7Mn2Co3O12 at its relaxed geometry, as listed in Alexandria via LeMat-Bulk.

```
data_Li7Mn2Co3O12
_cell_length_a 5.846
_cell_length_b 5.896
_cell_length_c 7.701
_cell_angle_alpha 100.91
_cell_angle_beta 101.08
_cell_angle_gamma 119.71
_symmetry_space_group_name_H-M 'P 1'
_symmetry_Int_Tables_number 1
loop_
_symmetry_equiv_pos_as_xyz
'x,y,z'
loop_
_atom_site_label
_atom_site_type_symbol
_atom_site_fract_x
_atom_site_fract_y
_atom_site_fract_z
O1 O 0.228 0.224 0.004
O2 O 0.234 0.075 0.322
O3 O 0.757 0.230 0.012
O4 O 0.243 0.770 0.988
O5 O 0.772 0.776 0.996
O6 O 0.284 0.455 0.671
O7 O 0.754 0.073 0.315
O8 O 0.716 0.545 0.329
O9 O 0.766 0.925 0.678
O10 O 0.246 0.541 0.332
O11 O 0.246 0.927 0.685
O12 O 0.754 0.459 0.668
Mn1 Mn 0.002 0.842 0.828
Mn2 Mn 0.998 0.158 0.172
Li1 Li 0.503 0.341 0.832
Li2 Li 0.500 0.000 0.500
Li3 Li 0.000 0.500 0.500
Li4 Li 0.999 0.659 0.171
Li5 Li 0.000 0.000 0.500
Li6 Li 0.497 0.659 0.168
Li7 Li 0.001 0.341 0.829
Co1 Co 0.489 0.828 0.821
Co2 Co 0.511 0.172 0.179
Co3 Co 0.500 0.500 0.500
```

## Properties
Space-group type ... P-1, No. 2

*Q*
First-principles (PBE+U) data for crystalline Li7Mn2Co3O12 at its relaxed geometry, as listed in Alexandria via LeMat-Bulk.

```
data_Li7Mn2Co3O12
_cell_length_a 7.690
_cell_length_b 7.690
_cell_length_c 10.160
_cell_angle_alpha 71.28
_cell_angle_beta 71.28
_cell_angle_gamma 21.55
_symmetry_space_group_name_H-M 'P 1'
_symmetry_Int_Tables_number 1
loop_
_symmetry_equiv_pos_as_xyz
'x,y,z'
loop_
_atom_site_label
_atom_site_type_symbol
_atom_site_fract_x
_atom_site_fract_y
_atom_site_fract_z
O1 O 0.075 0.075 0.619
O2 O 0.744 0.744 0.110
O3 O 0.237 0.237 0.885
O4 O 0.913 0.913 0.394
O5 O 0.429 0.429 0.115
O6 O 0.917 0.917 0.892
O7 O 0.577 0.577 0.890
O8 O 0.573 0.573 0.388
O9 O 0.087 0.087 0.106
O10 O 0.762 0.762 0.609
O11 O 0.420 0.420 0.609
O12 O 0.260 0.260 0.381
Li1 Li 0.826 0.826 0.753
Li2 Li 0.833 0.833 0.264
Li3 Li 0.173 0.173 0.262
Li4 Li 0.669 0.669 0.500
Li5 Li 0.501 0.501 0.255
Li6 Li 0.503 0.503 0.742
Li7 Li 0.171 0.171 0.726
Co1 Co 0.329 0.329 0.002
Co2 Co 0.332 0.332 0.498
Co3 Co 0.665 0.665 0.997
Mn1 Mn 0.000 0.000 0.000
Mn2 Mn 0.003 0.003 0.504
```

## Properties
Space-group type ... Cm, No. 8
Density of states at the Fermi level ... 5.137 states/eV/f.u.

Which one is the most stable? From the structures above, *P*.